No. 1
# TmCu4Ag (meta-GGA SCAN, PBEsol geometry)
data_TmCu4Ag
_symmetry_space_group_name_H-M 'F -4 3 m'
_symmetry_Int_Tables_number 216
_symmetry_space_group_name_Hall 'F -4 2 3'
_cell_length_a 6.976
_cell_length_b 6.976
_cell_length_c 6.976
_cell_angle_alpha 90.00
_cell_angle_beta 90.00
_cell_angle_gamma 90.00
loop_
_atom_site_label
_atom_site_type_symbol
_atom_site_fract_x
_atom_site_fract_y
_atom_site_fract_z
Tm1 Tm 0.000 0.000 0.000
Cu1 Cu 0.124 0.124 0.376
Ag1 Ag 0.250 0.250 0.750
# V: 14.1 Å³/atom
# calculated formation energy: -0.269 eV per atom
# E_tot: -582.4 eV/cell


No. 2
# CuAg2W (meta-GGA SCAN, PBEsol geometry)
data_CuAg2W
_symmetry_space_group_name_H-M 'P 4/m m m'
_symmetry_Int_Tables_number 123
_symmetry_space_group_name_Hall '-P 4 2'
_cell_length_a 2.697
_cell_length_b 2.697
_cell_length_c 8.197
_cell_angle_alpha 90.00
_cell_angle_beta 90.00
_cell_angle_gamma 90.00
loop_
_atom_site_label
_atom_site_type_symbol
_atom_site_fract_x
_atom_site_fract_y
_atom_site_fract_z
Cu1 Cu 0.000 0.000 0.000
Ag1 Ag 0.500 0.500 0.233
W1 W 0.000 0.000 0.500
# V: 14.9 Å³/atom
# calculated formation energy: 0.472 eV per atom
# E_tot: -145.7 eV/cell


No. 3
# CuAg2W (meta-GGA SCAN, PBEsol geometry)
data_CuAg2W
_symmetry_space_group_name_H-M 'P 4/m m m'
_symmetry_Int_Tables_number 123
_symmetry_space_group_name_Hall '-P 4 2'
_cell_length_a 3.697
_cell_length_b 3.697
_cell_length_c 4.448
_cell_angle_alpha 90.00
_cell_angle_beta 90.00
_cell_angle_gamma 90.00
loop_
_atom_site_label
_atom_site_type_symbol
_atom_site_fract_x
_atom_site_fract_y
_atom_site_fract_z
Cu1 Cu 0.000 0.000 0.000
Ag1 Ag 0.000 0.500 0.500
W1 W 0.500 0.500 0.000
# V: 15.2 Å³/atom
# calculated formation energy: 0.940 eV per atom
# E_tot: -143.9 eV/cell


No. 4
# CuAgW2 (meta-GGA SCAN, PBEsol geometry)
data_CuAgW2
_symmetry_space_group_name_H-M 'P 4/m m m'
_symmetry_Int_Tables_number 123
_symmetry_space_group_name_Hall '-P 4 2'
_cell_length_a 3.709
_cell_length_b 3.709
_cell_length_c 4.286
_cell_angle_alpha 90.00
_cell_angle_beta 90.00
_cell_angle_gamma 90.00
loop_
_atom_site_label
_atom_site_type_symbol
_atom_site_fract_x
_atom_site_fract_y
_atom_site_fract_z
Cu1 Cu 0.000 0.000 0.000
Ag1 Ag 0.500 0.500 0.000
W1 W 0.000 0.500 0.500
# V: 14.7 Å³/atom
# calculated formation energy: 0.599 eV per atom
# E_tot: -183.5 eV/cell


No. 5
# CuAgW2 (meta-GGA SCAN, PBEsol geometry)
data_CuAgW2
_symmetry_space_group_name_H-M 'P 4 m m'
_symmetry_Int_Tables_number 99
_symmetry_space_group_name_Hall 'P 4 -2'
_cell_length_a 3.218
_cell_length_b 3.218
_cell_length_c 5.802
_cell_angle_alpha 90.00
_cell_angle_beta 90.00
_cell_angle_gamma 90.00
loop_
_atom_site_label
_atom_site_type_symbol
_atom_site_fract_x
_atom_site_fract_y
_atom_site_fract_z
Cu1 Cu 0.000 0.000 0.000
Ag1 Ag 0.500 0.500 0.777
W1 W 0.000 0.000 0.481
W2 W 0.500 0.500 0.255
# V: 15.0 Å³/atom
# calculated formation energy: 0.494 eV per atom
# E_tot: -184.0 eV/cell


No. 6
# CuAgW2 (meta-GGA SCAN, PBEsol geometry)
data_CuAgW2
_symmetry_space_group_name_H-M 'C m m 2'
_symmetry_Int_Tables_number 35
_symmetry_space_group_name_Hall 'C 2 -2'
_cell_length_a 3.165
_cell_length_b 4.332
_cell_length_c 8.754
_cell_angle_alpha 90.00
_cell_angle_beta 90.00
_cell_angle_gamma 90.00
loop_
_atom_site_label
_atom_site_type_symbol
_atom_site_fract_x
_atom_site_fract_y
_atom_site_fract_z
Cu1 Cu 0.000 0.000 0.000
Ag1 Ag 0.000 0.500 0.758
W1 W 0.000 0.000 0.487
W2 W 0.000 0.500 0.235
# V: 15.0 Å³/atom
# calculated formation energy: 0.316 eV per atom
# E_tot: -369.4 eV/cell


No. 7
# Y2CuAg (meta-GGA SCAN, PBEsol geometry)
data_Y2CuAg
_symmetry_space_group_name_H-M 'P 4/m m m'
_symmetry_Int_Tables_number 123
_symmetry_space_group_name_Hall '-P 4 2'
_cell_length_a 4.958
_cell_length_b 4.958
_cell_length_c 3.512
_cell_angle_alpha 90.00
_cell_angle_beta 90.00
_cell_angle_gamma 90.00
loop_
_atom_site_label
_atom_site_type_symbol
_atom_site_fract_x
_atom_site_fract_y
_atom_site_fract_z
Y1 Y 0.000 0.500 0.000
Cu1 Cu 0.000 0.000 0.500
Ag1 Ag 0.500 0.500 0.500
# V: 21.6 Å³/atom
# calculated formation energy: -0.343 eV per atom
# E_tot: -103.6 eV/cell


No. 8
# YCuAg2 (meta-GGA SCAN, PBEsol geometry)
data_YCuAg2
_symmetry_space_group_name_H-M 'F -4 3 m'
_symmetry_Int_Tables_number 216
_symmetry_space_group_name_Hall 'F -4 2 3'
_cell_length_a 6.635
_cell_length_b 6.635
_cell_length_c 6.635
_cell_angle_alpha 90.00
_cell_angle_beta 90.00
_cell_angle_gamma 90.00
loop_
_atom_site_label
_atom_site_type_symbol
_atom_site_fract_x
_atom_site_fract_y
_atom_site_fract_z
Y1 Y 0.000 0.000 0.000
Cu1 Cu 0.250 0.250 0.250
Ag1 Ag 0.000 0.000 0.500
Ag2 Ag 0.250 0.250 0.750
# V: 18.3 Å³/atom
# calculated formation energy: -0.160 eV per atom
# E_tot: -425.7 eV/cell